# 1
The following is a PBE calculation of a relaxed structure of LiMnAu3, from the Alexandria database.

## Properties
Energy of formation from the pure elements = 637 meV per atom

abc: 4.836 4.836 4.836
angles: 90.00 90.00 90.00
Space group Pm-3m (No. 221)
Symmetry-distinct sites (fractional):
Li (0.000, 0.000, 0.000) (multiplicity 1)
Mn (0.500, 0.500, 0.500) (multiplicity 1)
Au (0.000, 0.500, 0.500) (multiplicity 3)

# 2
The following is a PBE calculation of a relaxed structure of Ba2LiSnN, from the Alexandria database.

## Properties
ΔE_f (raw) = -0.34 eV/atom

abc: 5.862 5.862 4.112
angles: 90.00 90.00 90.00
Space group P4/mmm (No. 123)
Symmetry-distinct sites (fractional):
Ba (0.000, 0.500, 0.000) (multiplicity 2)
Li (0.000, 0.000, 0.500) (multiplicity 1)
Sn (0.500, 0.500, 0.500) (multiplicity 1)
N (0.000, 0.000, 0.000) (multiplicity 1)

# 3
The following is a PBE calculation of a relaxed structure of K2CuP, from the Alexandria database.

## Properties
Energy of formation from the pure elements = -336 meV per atom

abc: 9.932 7.437 5.800
angles: 90.00 90.00 90.00
Space group Cmcm (No. 63)
Symmetry-distinct sites (fractional):
K (0.169, 0.145, 0.250) (multiplicity 8)
Cu (0.000, 0.500, 0.000) (multiplicity 4)
P (0.000, 0.268, 0.750) (multiplicity 4)

# 4
The following is a PBE calculation of a relaxed structure of In2RePb, from the Alexandria database.

## Properties
Energy of formation from the pure elements = 907 meV per atom

abc: 4.271 4.271 20.818
angles: 90.00 90.00 90.00
Space group I-42d (No. 122)
Symmetry-distinct sites (fractional):
In (0.227, 0.250, 0.125) (multiplicity 8)
Re (0.000, 0.000, 0.000) (multiplicity 4)
Pb (0.000, 0.000, 0.500) (multiplicity 4)

# 5
The following is a PBE calculation of a relaxed structure of CoMoOs2, from the Alexandria database.

## Properties
Energy of formation from the pure elements = 242 meV per atom

abc: 3.124 3.124 5.688
angles: 90.00 90.00 90.00
Space group P4/mmm (No. 123)
Symmetry-distinct sites (fractional):
Co (0.000, 0.000, 0.000) (multiplicity 1)
Mo (0.000, 0.000, 0.500) (multiplicity 1)
Os (0.500, 0.500, 0.225) (multiplicity 2)

# 6
The following is a PBE calculation of a relaxed structure of BaAcPmMg, from the Alexandria database.

## Properties
Energy of formation from the pure elements = 180 meV per atom

abc: 8.585 8.585 8.585
angles: 90.00 90.00 90.00
Space group F-43m (No. 216)
Symmetry-distinct sites (fractional):
Ba (0.000, 0.000, 0.000) (multiplicity 4)
Ac (0.250, 0.250, 0.750) (multiplicity 4)
Pm (0.000, 0.000, 0.500) (multiplicity 4)
Mg (0.250, 0.250, 0.250) (multiplicity 4)